Material: LiEuZn
Method: DFT, PBE
State: optimized geometry

Computed properties:
Energy of formation: -0.1123 eV/atom
Crystal system: tetragonal

Cell lengths 3.6546, 3.6546, 10.7729 Å; angles 90.00, 90.00, 90.00 degrees
Space group I4mm (No. 107)
Asymmetric unit:
1 Li 0.0000 0.0000 0.0000 [2 per cell]
2 Eu 0.0000 0.0000 0.2894 [2 per cell]
3 Zn 0.0000 0.0000 0.6070 [2 per cell]



Material: NaZnCuF6
Method: DFT, PBE
State: optimized geometry

Computed properties:
Crystal system: trigonal
Formation energy (no corrections): -2.035 eV/atom

Cell lengths 5.2845, 5.2845, 9.7822 Å; angles 90.00, 90.00, 120.00 degrees
Space group P-31c (No. 163)
Asymmetric unit:
1 Na 0.0000 0.0000 0.0000 [2 per cell]
2 Zn 0.3333 0.6667 0.2500 [2 per cell]
3 Cu 0.3333 0.6667 0.7500 [2 per cell]
4 F 0.0186 0.3727 0.6410 [12 per cell]



Material: BaCo2
Method: DFT, PBE
State: optimized geometry

Computed properties:
Energy of formation: 0.3993 eV/atom
Crystal system: monoclinic

Cell lengths 7.9201, 9.3367, 4.2823 Å; angles 90.00, 111.53, 90.00 degrees
Space group C2/c (No. 15)
Asymmetric unit:
1 Ba 0.0000 0.1911 0.2500 [4 per cell]
2 Co 0.1427 0.4606 0.9517 [8 per cell]



Material: GdTmPb2
Method: DFT, PBE
State: optimized geometry

Computed properties:
Energy of formation: -0.3767 eV/atom
Crystal system: cubic

Cell lengths 7.7071, 7.7071, 7.7071 Å; angles 90.00, 90.00, 90.00 degrees
Space group Fm-3m (No. 225)
Asymmetric unit:
1 Gd 0.0000 0.0000 0.0000 [4 per cell]
2 Tm 0.0000 0.0000 0.5000 [4 per cell]
3 Pb 0.2500 0.2500 0.2500 [8 per cell]



Material: Li3Cd4Hg4
Method: DFT, PBE
State: optimized geometry

Computed properties:
Energy of formation: -0.1768 eV/atom
Crystal system: triclinic

Cell lengths 3.1500, 5.0559, 15.4812 Å; angles 96.51, 95.19, 104.58 degrees
Space group P1 (No. 1)
Asymmetric unit:
1 Li 0.0000 0.0000 0.0000 [1 per cell]
2 Li 0.1187 0.7644 0.2697 [1 per cell]
3 Li 0.8704 0.2398 0.7303 [1 per cell]
4 Cd 0.3046 0.8177 0.8309 [1 per cell]
5 Cd 0.3405 0.2542 0.5533 [1 per cell]
6 Cd 0.6467 0.7513 0.4470 [1 per cell]
7 Cd 0.6953 0.1833 0.1691 [1 per cell]
8 Hg 0.0750 0.7568 0.6429 [1 per cell]
9 Hg 0.3563 0.6116 0.0888 [1 per cell]
10 Hg 0.6431 0.3893 0.9115 [1 per cell]
11 Hg 0.9124 0.2486 0.3574 [1 per cell]



Material: BeZn2Rh
Method: DFT, PBE
State: optimized geometry

Computed properties:
Energy of formation: -0.1493 eV/atom
Crystal system: orthorhombic

Cell lengths 5.0627, 7.1365, 2.8762 Å; angles 90.00, 90.00, 90.00 degrees
Space group Cmmm (No. 65)
Asymmetric unit:
1 Be 0.0000 0.0000 0.0000 [2 per cell]
2 Zn 0.2500 0.2500 0.5000 [4 per cell]
3 Rh 0.0000 0.5000 0.0000 [2 per cell]



Material: LiAl2ZnP
Method: DFT, PBE
State: optimized geometry

Computed properties:
Energy of formation: 0.1773 eV/atom
Crystal system: tetragonal

Cell lengths 4.7537, 4.7537, 4.4991 Å; angles 90.00, 90.00, 90.00 degrees
Space group P4/mmm (No. 123)
Asymmetric unit:
1 Li 0.0000 0.0000 0.0000 [1 per cell]
2 Al 0.0000 0.5000 0.5000 [2 per cell]
3 Zn 0.5000 0.5000 0.0000 [1 per cell]
4 P 0.0000 0.0000 0.5000 [1 per cell]



Material: Co2SnRhS
Method: DFT, PBE
State: optimized geometry

Computed properties:
Crystal system: tetragonal
Formation energy (no corrections): 0.933 eV/atom

Cell lengths 4.6186, 4.6186, 5.0325 Å; angles 90.00, 90.00, 90.00 degrees
Space group P4/mmm (No. 123)
Asymmetric unit:
1 Co 0.0000 0.5000 0.0000 [2 per cell]
2 Sn 0.0000 0.0000 0.5000 [1 per cell]
3 Rh 0.0000 0.0000 0.0000 [1 per cell]
4 S 0.5000 0.5000 0.5000 [1 per cell]



Material: Mg3BiOs
Method: DFT, PBE
State: optimized geometry

Computed properties:
Energy of formation: 0.4868 eV/atom
Crystal system: cubic

Cell lengths 5.0195, 5.0195, 5.0195 Å; angles 90.00, 90.00, 90.00 degrees
Space group Pm-3m (No. 221)
Asymmetric unit:
1 Mg 0.0000 0.0000 0.5000 [3 per cell]
2 Bi 0.5000 0.5000 0.5000 [1 per cell]
3 Os 0.0000 0.0000 0.0000 [1 per cell]



Material: Ba3Ag3Hg8
Method: DFT, PBE
State: optimized geometry

Computed properties:
Energy of formation: -0.3240 eV/atom
Crystal system: monoclinic

Cell lengths 18.0545, 5.1902, 10.0745 Å; angles 90.00, 123.11, 90.00 degrees
Space group C2/m (No. 12)
Asymmetric unit:
1 Ba 0.0000 0.0000 0.0000 [2 per cell]
2 Ba 0.2058 0.5000 0.7063 [4 per cell]
3 Ag 0.0000 0.0000 0.5000 [2 per cell]
4 Ag 0.1592 0.5000 0.3083 [4 per cell]
5 Hg 0.0027 0.5000 0.3246 [4 per cell]
6 Hg 0.1346 0.0000 0.8406 [4 per cell]
7 Hg 0.1423 0.0000 0.4317 [4 per cell]
8 Hg 0.1591 0.5000 0.0251 [4 per cell]



Material: AcDyInHg
Method: DFT, PBE
State: optimized geometry

Computed properties:
Energy of formation: -0.4103 eV/atom
Crystal system: cubic

Cell lengths 7.8730, 7.8730, 7.8730 Å; angles 90.00, 90.00, 90.00 degrees
Space group F-43m (No. 216)
Asymmetric unit:
1 Ac 0.0000 0.0000 0.0000 [4 per cell]
2 Dy 0.0000 0.0000 0.5000 [4 per cell]
3 In 0.2500 0.2500 0.7500 [4 per cell]
4 Hg 0.2500 0.2500 0.2500 [4 per cell]



Material: Sm4YRu2
Method: DFT, PBE
State: optimized geometry

Computed properties:
Energy of formation: -0.1583 eV/atom
Crystal system: monoclinic

Cell lengths 7.9322, 6.4887, 7.9391 Å; angles 90.00, 112.45, 90.00 degrees
Space group P2_1/m (No. 11)
Asymmetric unit:
1 Sm 0.0226 0.2500 0.3751 [2 per cell]
2 Sm 0.2416 0.7500 0.3206 [2 per cell]
3 Sm 0.4127 0.0022 0.7584 [4 per cell]
4 Y 0.1634 0.2500 0.0286 [2 per cell]
5 Ru 0.2554 0.7500 0.9821 [2 per cell]
6 Ru 0.3736 0.2500 0.4097 [2 per cell]